# 1
Compound: HfUPa
Source: Alexandria
Functional: PBE
Structure: relaxed

Unit cell a=3.607 b=3.607 c=5.806 alpha=108.10 beta=108.10 gamma=90.00
Site moments in Bohr magnetons follow the coordinates.
Atoms (fractional coordinates):
1 U 0.296 0.296 0.591  0.50
2 Hf 0.621 0.621 0.243  0.01
3 Pa 0.933 0.933 0.866  0.07

Properties
Formation enthalpy at 0 K (eV/atom): 0.22
ΔE to the lowest computed polymorph (eV per formula unit): 0.413
Crystal system: tetragonal
SG: I4mm
Electronic total energy (eV/atom): -10.03
Spin magnetization (μB/f.u.): 0.606

# 2
Compound: Hf2UPa
Source: Alexandria
Functional: PBE
Structure: relaxed

Unit cell a=3.015 b=3.015 c=10.015 alpha=90.00 beta=90.00 gamma=90.00
Atoms (fractional coordinates):
1 Hf 0.000 0.000 0.245
2 U 0.500 0.500 0.000
3 Pa 0.500 0.500 0.500
4 Hf 0.000 0.000 0.755

Properties
Formation enthalpy at 0 K (eV/atom): 0.21
ΔE to the lowest computed polymorph (eV per formula unit): 0.000
Crystal system: tetragonal
SG: P4/mmm
Electronic total energy (eV/atom): -9.96
Spin magnetization (μB/f.u.): 0.013

# 3
Compound: HfUPaZn
Source: Alexandria
Functional: PBE
Structure: relaxed

Unit cell a=4.927 b=4.927 c=4.927 alpha=60.00 beta=60.00 gamma=60.00
Site moments in Bohr magnetons follow the coordinates.
Atoms (fractional coordinates):
1 Pa 0.250 0.250 0.250  0.73
2 U 0.500 0.500 0.500  1.98
3 Hf 0.750 0.750 0.750  0.20
4 Zn 0.000 0.000 0.000  -0.03

Properties
Formation enthalpy at 0 K (eV/atom): 0.26
Crystal system: cubic
SG: F-43m
Electronic total energy (eV/atom): -7.74
Spin magnetization (μB/f.u.): 3.118

# 4
Compound: Hf2PaV
Source: Alexandria
Functional: PBE
Structure: relaxed

Unit cell a=4.872 b=4.872 c=4.872 alpha=60.00 beta=60.00 gamma=60.00
Site moments in Bohr magnetons follow the coordinates.
Atoms (fractional coordinates):
1 Hf 0.250 0.250 0.250  -0.08
2 V 0.500 0.500 0.500  1.02
3 Hf 0.750 0.750 0.750  -0.08
4 Pa 0.000 0.000 0.000  -0.23

Properties
Formation enthalpy at 0 K (eV/atom): 0.23
ΔE to the lowest computed polymorph (eV per formula unit): 0.198
Crystal system: cubic
SG: Fm-3m
Electronic total energy (eV/atom): -9.40
Spin magnetization (μB/f.u.): 0.785

# 5
Compound: HfPaV2
Source: Alexandria
Functional: PBE
Structure: relaxed

Unit cell a=3.204 b=3.204 c=8.668 alpha=79.35 beta=79.35 gamma=60.00
Site moments in Bohr magnetons follow the coordinates.
Atoms (fractional coordinates):
1 Hf 0.500 0.500 0.500  0.03
2 Pa 0.000 0.000 0.000  0.08
3 V 0.254 0.254 0.238  0.29
4 V 0.746 0.746 0.762  0.29

Properties
Formation enthalpy at 0 K (eV/atom): 0.40
ΔE to the lowest computed polymorph (eV per formula unit): 1.138
Crystal system: trigonal
SG: R-3m
Electronic total energy (eV/atom): -9.02
Spin magnetization (μB/f.u.): 0.749

# 6
Compound: HfPaV
Source: Alexandria
Functional: PBE
Structure: relaxed

Unit cell a=6.550 b=8.235 c=8.235 alpha=74.95 beta=66.57 gamma=66.57
Atoms (fractional coordinates):
1 V 0.490 0.500 0.500
2 V 0.252 0.883 0.884
3 Hf 0.736 0.511 0.011
4 V 0.252 0.384 0.383
5 V 0.490 0.000 0.000
6 Hf 0.783 0.250 0.750
7 Pa 0.590 0.167 0.167
8 Hf 0.257 0.489 0.989
9 Pa 0.924 0.333 0.333
10 Hf 0.736 0.011 0.511
11 Pa 0.924 0.833 0.833
12 Pa 0.590 0.667 0.667
13 V 0.019 0.117 0.116
14 Pa 0.261 0.750 0.250
15 Hf 0.783 0.750 0.250
16 Pa 0.261 0.250 0.750
17 V 0.019 0.616 0.617
18 Hf 0.257 0.989 0.489

Properties
Formation enthalpy at 0 K (eV/atom): 0.31
ΔE to the lowest computed polymorph (eV per formula unit): 0.348
Crystal system: orthorhombic
SG: Amm2
Electronic total energy (eV/atom): -9.22
Spin magnetization (μB/f.u.): 0.000

# 7
Compound: HfPaV
Source: Alexandria
Functional: PBE
Structure: relaxed

Unit cell a=2.892 b=2.892 c=7.986 alpha=100.43 beta=100.43 gamma=90.00
Atoms (fractional coordinates):
1 Hf 0.119 0.119 0.239
2 V 0.947 0.947 0.893
3 Pa 0.784 0.784 0.568

Properties
Formation enthalpy at 0 K (eV/atom): 0.80
ΔE to the lowest computed polymorph (eV per formula unit): 1.830
Crystal system: tetragonal
SG: I4mm
Electronic total energy (eV/atom): -8.72
Spin magnetization (μB/f.u.): 0.000

# 8
Compound: HfPaV2
Source: Alexandria
Functional: PBE
Structure: relaxed

Unit cell a=4.700 b=4.700 c=4.700 alpha=60.00 beta=60.00 gamma=60.00
Atoms (fractional coordinates):
1 V 0.250 0.250 0.250
2 Hf 0.000 0.000 0.000
3 V 0.750 0.750 0.750
4 Pa 0.500 0.500 0.500

Properties
Formation enthalpy at 0 K (eV/atom): 0.12
ΔE to the lowest computed polymorph (eV per formula unit): 0.000
Crystal system: cubic
SG: Fm-3m
Electronic total energy (eV/atom): -9.30
Spin magnetization (μB/f.u.): 0.002